The following is a DFT calculation (GGA+U) of a relaxed SrCaFe2F8 crystal.

Unit cell a=7.5492 b=7.5492 c=7.0677 alpha=90.00 beta=90.00 gamma=90.00
With the nearest neighbours (Å) after each atom.
Space group I-4m2 (No. 119)
Inequivalent atoms, fractional coordinates:
Sr: 0.0000 0.0000 0.0000 x2  8 F 2.43-2.66
Ca: 0.0000 0.5000 0.7500 x2  8 F 2.34-2.53
Fe: 0.0000 0.0000 0.5000 x2  4 F 1.98
Fe: 0.0000 0.5000 0.2500 x2  4 F 1.96
F: 0.0000 0.1957 0.6868 x8  1 Fe 1.98
F: 0.0000 0.3186 0.0514 x8  1 Fe 1.96

DFT total energy   -5.58 eV/atom
N(E_F)   0.00 states/eV/cell